## LaCoGeH (PBE-GGA)

Data for a relaxed structure of LaCoGeH.

a b c (Å): 4.0298 4.0298 8.0153
angles (deg): 90.00 90.00 90.00
Last column: nearest neighbours and their distance in Å.
Fractional coordinates of all 8 atoms:
La 0.5000 0.0000 0.6727  4 H 2.44
La 0.0000 0.5000 0.3273  4 H 2.44
Co 0.5000 0.5000 0.0000  4 Ge 2.37
Co 0.0000 0.0000 0.0000  4 Ge 2.37
Ge 0.0000 0.5000 0.8447  4 Co 2.37
Ge 0.5000 0.0000 0.1553  4 Co 2.37
H 0.0000 0.0000 0.5000  4 La 2.44
H 0.5000 0.5000 0.5000  4 La 2.44

Space-group type = No. 129
Total energy = -5.65 eV/atom

***

## Ni2Pd5Pt3 (PBE-GGA)

Data for a relaxed structure of Ni2Pd5Pt3.

a b c (Å): 8.5886 7.5069 8.4200
angles (deg): 128.04 131.22 70.47
Last column: nearest neighbours and their distance in Å.
Fractional coordinates of all 20 atoms:
Ni 0.8710 0.8833 0.7502  3 Pt 2.51-2.52, 3 Pd 2.53-2.56, 1 Ni 2.63
Ni 0.1290 0.1167 0.2498  3 Pt 2.51-2.52, 3 Pd 2.53-2.56, 1 Ni 2.63
Ni 0.3791 0.8668 0.7502  3 Pt 2.51-2.52, 3 Pd 2.53-2.56, 1 Ni 2.63
Ni 0.6209 0.1332 0.2498  3 Pt 2.51-2.52, 3 Pd 2.53-2.56, 1 Ni 2.63
Pd 0.2510 0.5010 0.0020  4 Pd 2.58-2.86, 2 Pt 2.87
Pd 0.7490 0.4990 0.9980  4 Pd 2.58-2.86, 2 Pt 2.87
Pd 0.9952 0.7452 0.4904  2 Ni 2.56, 3 Pd 2.59-2.79, 5 Pt 2.65-2.78
Pd 0.5036 0.2536 0.5072  2 Ni 2.53, 3 Pd 2.58-2.71, 3 Pt 2.69-2.78
Pd 0.0048 0.2548 0.5096  2 Ni 2.56, 3 Pd 2.59-2.79, 5 Pt 2.65-2.78
Pd 0.4964 0.7464 0.4928  2 Ni 2.53, 3 Pd 2.58-2.71, 3 Pt 2.69-2.78
Pd 0.8178 0.5615 0.7408  1 Ni 2.55, 3 Pt 2.67-2.77, 3 Pd 2.71-2.84
Pd 0.1822 0.4385 0.2592  1 Ni 2.55, 3 Pt 2.67-2.77, 3 Pd 2.71-2.84
Pd 0.4230 0.1792 0.7408  1 Ni 2.55, 3 Pt 2.67-2.77, 3 Pd 2.71-2.84
Pd 0.5770 0.8208 0.2592  1 Ni 2.55, 3 Pt 2.67-2.77, 3 Pd 2.71-2.84
Pt 0.2477 0.9977 0.9954  4 Ni 2.52, 4 Pd 2.65-2.75, 2 Pt 2.77
Pt 0.7523 0.0023 0.0046  4 Ni 2.52, 4 Pd 2.65-2.75, 2 Pt 2.77
Pt 0.6873 0.4480 0.2679  1 Ni 2.51, 5 Pd 2.67-2.78, 1 Pt 2.77
Pt 0.3127 0.5520 0.7321  1 Ni 2.51, 5 Pd 2.67-2.78, 1 Pt 2.77
Pt 0.0806 0.8199 0.2679  1 Ni 2.51, 5 Pd 2.67-2.78, 1 Pt 2.77
Pt 0.9194 0.1801 0.7321  1 Ni 2.51, 5 Pd 2.67-2.78, 1 Pt 2.77

Space-group type = No. 15
Total energy = -5.36 eV/atom

***

## TmIr4Au (PBE-GGA)

Data for a relaxed structure of TmIr4Au.

a b c (Å): 5.2703 5.2703 5.2703
angles (deg): 60.00 60.00 60.00
Last column: nearest neighbours and their distance in Å.
Fractional coordinates of all 6 atoms:
Tm 0.2500 0.2500 0.2500  12 Ir 3.09, 4 Au 3.23
Ir 0.6251 0.6251 0.1246  6 Ir 2.63-2.64
Ir 0.6251 0.1246 0.6251  6 Ir 2.63-2.64
Ir 0.6251 0.6251 0.6251  6 Ir 2.63-2.64
Ir 0.1246 0.6251 0.6251  6 Ir 2.63-2.64
Au 0.0000 0.0000 0.0000  12 Ir 3.09, 4 Tm 3.23

Space-group type = No. 216
Total energy = -7.46 eV/atom

***

## K2MgSn (PBE-GGA)

Data for a relaxed structure of K2MgSn.

a b c (Å): 13.5540 13.5540 9.9492
angles (deg): 47.07 47.07 90.00
Last column: nearest neighbours and their distance in Å.
Fractional coordinates of all 8 atoms:
Mg 0.5000 0.5000 0.0000  2 Sn 2.67
Mg 0.2500 0.7500 0.5000  2 Sn 2.67
K 0.8205 0.1250 0.2500  2 Sn 3.53
K 0.9295 0.6250 0.2500  2 Sn 3.53
K 0.3750 0.1795 0.7500  2 Sn 3.53
K 0.8750 0.0705 0.7500  2 Sn 3.53
Sn 0.0000 0.0000 0.0000  2 Mg 2.67
Sn 0.7500 0.2500 0.5000  2 Mg 2.67

Space-group type = No. 122
Total energy = -1.92 eV/atom

***

## Tl2CoPt (PBE-GGA)

Data for a relaxed structure of Tl2CoPt.

a b c (Å): 6.4853 6.4853 4.3876
angles (deg): 70.18 70.18 26.80
Last column: nearest neighbours and their distance in Å.
Fractional coordinates of all 4 atoms:
Co 0.4982 0.4982 0.5016  2 Pt 2.64, 6 Tl 2.66-2.85
Pt 0.8143 0.8143 0.6859  2 Co 2.64
Tl 0.9848 0.9848 0.0151  4 Co 2.66, 2 Pt 2.98
Tl 0.2027 0.2027 0.2974  2 Co 2.85, 4 Pt 2.97, 2 Tl 3.01

Space-group type = No. 44
Total energy = -4.19 eV/atom

***

## ScOs2Pb (PBE-GGA)

Data for a relaxed structure of ScOs2Pb.

a b c (Å): 2.9557 2.9557 9.2164
angles (deg): 90.00 90.00 114.31
Last column: nearest neighbours and their distance in Å.
Fractional coordinates of all 4 atoms:
Os 0.0000 0.0000 0.9819  2 Sc 2.67, 2 Pb 2.95, 4 Os 2.96
Os 0.0000 0.0000 0.5181  2 Sc 2.67, 2 Pb 2.95, 4 Os 2.96
Pb 0.5000 0.5000 0.2500  4 Os 2.95, 6 Pb 2.96-3.21
Sc 0.5000 0.5000 0.7500  4 Os 2.67, 4 Sc 2.96

Space-group type = No. 65
Total energy = -7.56 eV/atom

***

## Tl3GaTe (PBE-GGA)

Data for a relaxed structure of Tl3GaTe.

a b c (Å): 5.4847 5.4847 5.4847
angles (deg): 90.00 90.00 90.00
Last column: nearest neighbours and their distance in Å.
Fractional coordinates of all 5 atoms:
Tl 0.0000 0.5000 0.0000  2 Ga 2.74
Tl 0.0000 0.0000 0.5000  2 Ga 2.74
Tl 0.5000 0.0000 0.0000  2 Ga 2.74
Te 0.5000 0.5000 0.5000  12 Tl 3.88
Ga 0.0000 0.0000 0.0000  6 Tl 2.74

Space-group type = No. 221
Formation energy from raw total energies = 0.22 eV/f.u.
Relative energy among the computed polymorphs = 0.0 meV/atom

***

## LiCeIn5 (PBE-GGA)

Data for a relaxed structure of LiCeIn5.

a b c (Å): 4.7742 4.7742 7.6801
angles (deg): 90.00 90.00 90.00
Last column: nearest neighbours and their distance in Å.
Fractional coordinates of all 7 atoms:
Li 0.0000 0.0000 0.5000  8 In 2.84
Ce 0.0000 0.0000 0.0000  12 In 3.31-3.38
In 0.5000 0.0000 0.7015  2 Li 2.84, 1 In 3.09
In 0.0000 0.5000 0.7015  2 Li 2.84, 1 In 3.09
In 0.5000 0.5000 0.0000  8 In 3.31, 4 Ce 3.38
In 0.0000 0.5000 0.2985  2 Li 2.84, 1 In 3.09
In 0.5000 0.0000 0.2985  2 Li 2.84, 1 In 3.09

Space-group type = No. 123
Relative energy among the computed polymorphs = 0.0 meV/atom

***

N(E_F) for every record listed, in sequence, given in states/eV per cell: 5.02, 39.27, 7.02, 0.93, 4.04, 3.54, 1.20, 7.29.